# GGA-PBE MgZr2Pt5Au, optimized geometry
# mass density	13.1	Mg/m³
# E_form	-3.050	eV per formula unit
data_MgZr2Pt5Au
_chemical_formula_sum 'Mg2 Zr4 Pt10 Au2'
_space_group_name_H-M_alt 'P 1'
_space_group_IT_number 1
_space_group_name_Hall 'P 1'
_cell_length_a 7.853
_cell_length_b 7.853
_cell_length_c 7.853
_cell_angle_alpha 118.60
_cell_angle_beta 118.60
_cell_angle_gamma 92.45
loop_
_atom_site_label
_atom_site_fract_x
_atom_site_fract_y
_atom_site_fract_z
Mg1 0.250 0.250 0.000
Mg2 0.750 0.750 0.000
Zr1 0.120 0.620 0.740
Zr2 0.380 0.120 0.500
Zr3 0.620 0.880 0.500
Zr4 0.880 0.380 0.260
Pt1 0.000 0.000 0.000
Pt2 0.069 0.165 0.500
Pt3 0.165 0.665 0.096
Pt4 0.335 0.431 0.500
Pt5 0.431 0.931 0.096
Pt6 0.500 0.500 0.000
Pt7 0.569 0.069 0.904
Pt8 0.665 0.569 0.500
Pt9 0.835 0.335 0.904
Pt10 0.931 0.835 0.500
Au1 0.250 0.750 0.500
Au2 0.750 0.250 0.500



# GGA-PBE Na2AgGe2, optimized geometry
# mass density	4.3	Mg/m³
# E_form	-0.272	eV per formula unit
data_Na2AgGe2
_chemical_formula_sum 'Na4 Ag2 Ge4'
_space_group_name_H-M_alt 'P 1'
_space_group_IT_number 1
_space_group_name_Hall 'P 1'
_cell_length_a 5.728
_cell_length_b 5.728
_cell_length_c 10.658
_cell_angle_alpha 114.65
_cell_angle_beta 114.65
_cell_angle_gamma 47.78
loop_
_atom_site_label
_atom_site_fract_x
_atom_site_fract_y
_atom_site_fract_z
Na1 0.084 0.084 0.389
Na2 0.317 0.317 0.812
Na3 0.683 0.683 0.188
Na4 0.916 0.916 0.611
Ag1 0.365 0.365 0.144
Ag2 0.635 0.635 0.856
Ge1 0.076 0.076 0.941
Ge2 0.384 0.384 0.403
Ge3 0.616 0.616 0.597
Ge4 0.924 0.924 0.059



# GGA-PBE CePr2Ho5, optimized geometry
# mass density	8.0	Mg/m³
# E_form	0.389	eV per formula unit
data_CePr2Ho5
_chemical_formula_sum 'Ce2 Pr4 Ho10'
_space_group_name_H-M_alt 'P 1'
_space_group_IT_number 1
_space_group_name_Hall 'P 1'
_cell_length_a 5.073
_cell_length_b 5.073
_cell_length_c 20.040
_cell_angle_alpha 90.00
_cell_angle_beta 90.00
_cell_angle_gamma 90.00
loop_
_atom_site_label
_atom_site_fract_x
_atom_site_fract_y
_atom_site_fract_z
Ce1 0.000 0.000 0.000
Ce2 0.500 0.500 0.500
Pr1 0.000 0.000 0.248
Pr2 0.000 0.000 0.752
Pr3 0.500 0.500 0.252
Pr4 0.500 0.500 0.748
Ho1 0.000 0.000 0.500
Ho2 0.000 0.500 0.121
Ho3 0.000 0.500 0.379
Ho4 0.000 0.500 0.621
Ho5 0.000 0.500 0.879
Ho6 0.500 0.000 0.121
Ho7 0.500 0.000 0.379
Ho8 0.500 0.000 0.621
Ho9 0.500 0.000 0.879
Ho10 0.500 0.500 0.000



# GGA-PBE Mg3InTe4, optimized geometry
# mass density	4.0	Mg/m³
# final energy	-3.167	eV/atom
data_Mg3InTe4
_chemical_formula_sum 'Mg3 In1 Te4'
_space_group_name_H-M_alt 'P 1'
_space_group_IT_number 1
_space_group_name_Hall 'P 1'
_cell_length_a 15.747
_cell_length_b 15.747
_cell_length_c 15.747
_cell_angle_alpha 17.06
_cell_angle_beta 17.06
_cell_angle_gamma 17.06
loop_
_atom_site_label
_atom_site_fract_x
_atom_site_fract_y
_atom_site_fract_z
Mg1 0.000 0.000 0.000
Mg2 0.254 0.254 0.254
Mg3 0.507 0.507 0.507
In1 0.752 0.752 0.752
Te1 0.193 0.193 0.193
Te2 0.446 0.446 0.446
Te3 0.686 0.686 0.686
Te4 0.939 0.939 0.939



# GGA-PBE K3Sn8Pd3, optimized geometry
# mass density	6.1	Mg/m³
# E_form	-3.680	eV per formula unit
data_K3Sn8Pd3
_chemical_formula_sum 'K3 Sn8 Pd3'
_space_group_name_H-M_alt 'P 1'
_space_group_IT_number 1
_space_group_name_Hall 'P 1'
_cell_length_a 9.197
_cell_length_b 9.197
_cell_length_c 9.197
_cell_angle_alpha 149.25
_cell_angle_beta 105.07
_cell_angle_gamma 83.14
loop_
_atom_site_label
_atom_site_fract_x
_atom_site_fract_y
_atom_site_fract_z
K1 0.000 0.000 0.000
K2 0.322 0.322 0.000
K3 0.678 0.678 0.000
Sn1 0.028 0.665 0.363
Sn2 0.181 0.882 0.299
Sn3 0.302 0.665 0.637
Sn4 0.416 0.118 0.299
Sn5 0.584 0.882 0.701
Sn6 0.698 0.335 0.363
Sn7 0.819 0.118 0.701
Sn8 0.972 0.335 0.637
Pd1 0.270 0.500 0.770
Pd2 0.500 0.000 0.500
Pd3 0.730 0.500 0.230



# GGA-PBE KRb2Ba, optimized geometry
# mass density	1.9	Mg/m³
# E_form	0.322	eV per formula unit
data_KRb2Ba
_chemical_formula_sum 'K1 Rb2 Ba1'
_space_group_name_H-M_alt 'P 1'
_space_group_IT_number 1
_space_group_name_Hall 'P 1'
_cell_length_a 4.521
_cell_length_b 4.521
_cell_length_c 15.084
_cell_angle_alpha 90.00
_cell_angle_beta 90.00
_cell_angle_gamma 90.00
loop_
_atom_site_label
_atom_site_fract_x
_atom_site_fract_y
_atom_site_fract_z
K1 0.000 0.000 0.000
Rb1 0.500 0.500 0.253
Rb2 0.500 0.500 0.747
Ba1 0.000 0.000 0.500



Number 1: magnetization 0.000 μB/cell. Number 2: magnetization 0.000 μB/cell. Number 3: magnetization 1.867 μB/cell. Number 4: magnetization 0.000 μB/cell. Number 5: magnetization 0.000 μB/cell. Number 6: magnetization 0.000 μB/cell.